[1]
Entry from Alexandria: an optimized crystal structure of LiMgH4Pd2 (GGA-PBE).

POSCAR file:
```
LiMgH4Pd2
1.0
-3.437 0.728 0.261
-0.322 -2.429 2.530
1.211 4.215 4.201
Pd H Li Mg
2 4 1 1
Direct
0.500 0.500 0.752 Pd
0.500 0.500 0.248 Pd
0.500 0.000 0.770 H
0.000 0.500 0.230 H
0.000 0.500 0.770 H
0.500 0.000 0.230 H
0.000 0.000 0.000 Li
0.000 0.000 0.500 Mg
```

Calculated values
- Space group: P4/mmm (123)


[2]
Entry from Alexandria: an optimized crystal structure of LiMg2HPd (GGA-PBE).

POSCAR file:
```
LiMg2HPd
1.0
4.930 0.000 0.000
0.000 4.072 0.000
0.000 0.000 4.930
H Mg Li Pd
1 2 1 1
Direct
0.500 0.500 0.500 H
0.500 0.000 0.000 Mg
0.000 0.000 0.500 Mg
0.000 0.000 0.000 Li
0.000 0.500 0.000 Pd
```

Calculated values
- ΔE to the lowest computed polymorph: 99.9 kJ/mol of atoms
- Space group: P4/mmm (123)


[3]
Entry from Alexandria: an optimized crystal structure of LiMgHPd2 (GGA-PBE).

POSCAR file:
```
LiMgHPd2
1.0
4.012 0.000 0.000
0.000 4.012 0.000
0.000 0.000 3.972
Pd H Li Mg
2 1 1 1
Direct
0.500 0.000 0.000 Pd
0.000 0.500 0.000 Pd
0.000 0.000 0.000 H
0.500 0.500 0.500 Li
0.000 0.000 0.500 Mg
```

Calculated values
- ΔE to the lowest computed polymorph: 12.1 kJ/mol of atoms
- Space group: P4/mmm (123)


[4]
Entry from Alexandria: an optimized crystal structure of LiMgH2Pt (GGA-PBE).

POSCAR file:
```
LiMgH2Pt
1.0
3.629 0.000 0.000
0.000 4.754 0.000
0.000 0.000 3.629
H Pt Li Mg
2 1 1 1
Direct
0.500 0.000 0.000 H
0.000 0.000 0.500 H
0.000 0.000 0.000 Pt
0.000 0.500 0.000 Li
0.500 0.500 0.500 Mg
```

Calculated values
- Space group: P4/mmm (123)


[5]
Entry from Alexandria: an optimized crystal structure of LiMg2HPt (GGA-PBE).

POSCAR file:
```
LiMg2HPt
1.0
4.284 0.000 0.000
0.000 4.284 0.000
0.000 0.000 3.653
H Pt Mg Li
1 1 2 1
Direct
0.000 0.000 0.000 H
0.500 0.500 0.500 Pt
0.000 0.500 0.000 Mg
0.500 0.000 0.000 Mg
0.000 0.000 0.500 Li
```

Calculated values
- ΔE to the lowest computed polymorph: 0.0 kJ/mol of atoms
- Space group: P4/mmm (123)


[6]
Entry from Alexandria: an optimized crystal structure of Li2MgH6Pt (GGA-PBE).

POSCAR file:
```
Li2MgH6Pt
1.0
5.559 0.000 0.000
0.000 4.539 0.000
0.000 -2.270 3.931
H Li Pt Mg
6 2 1 1
Direct
0.186 0.344 0.172 H
0.814 0.172 0.828 H
0.186 0.828 0.656 H
0.186 0.828 0.172 H
0.814 0.656 0.828 H
0.814 0.172 0.344 H
0.159 0.333 0.667 Li
0.841 0.667 0.333 Li
0.000 0.000 0.000 Pt
0.500 0.000 0.000 Mg
```

Calculated values
- Space group: P-3m1 (164)


[7]
Entry from Alexandria: an optimized crystal structure of LiMg2HPt (GGA-PBE).

POSCAR file:
```
LiMg2HPt
1.0
-0.119 4.382 0.288
-4.385 -0.103 -0.239
-0.196 -0.248 3.694
Mg H Li Pt
2 1 1 1
Direct
0.000 0.500 0.000 Mg
0.500 0.000 0.000 Mg
0.000 0.000 0.000 H
0.500 0.500 0.500 Li
0.000 0.000 0.500 Pt
```

Calculated values
- ΔE to the lowest computed polymorph: 9.5 kJ/mol of atoms
- Space group: P4/mmm (123)


[8]
Entry from Alexandria: an optimized crystal structure of RbLiMgH2 (GGA-PBE).

POSCAR file:
```
RbLiMgH2
1.0
-1.754 3.926 -1.078
-3.152 -0.157 4.559
3.198 2.055 2.282
H Li Rb Mg
2 1 1 1
Direct
0.000 0.000 0.500 H
0.500 0.000 0.000 H
0.000 0.500 0.000 Li
0.500 0.500 0.500 Rb
0.000 0.000 0.000 Mg
```

Calculated values
- Space group: P4/mmm (123)


[9]
Entry from Alexandria: an optimized crystal structure of Rb3LiMg2H9 (GGA-PBE).

POSCAR file:
```
Rb3LiMg2H9
1.0
-1.017 2.376 -5.238
-2.005 -5.349 1.220
-6.090 2.847 2.474
H Mg Rb Li
9 2 3 1
Direct
0.500 0.000 0.000 H
0.500 0.500 0.000 H
0.658 0.829 0.325 H
0.829 0.658 0.675 H
0.171 0.342 0.325 H
0.829 0.171 0.675 H
0.342 0.171 0.675 H
0.000 0.500 0.000 H
0.171 0.829 0.325 H
0.667 0.333 0.832 Mg
0.333 0.667 0.168 Mg
0.000 0.000 0.000 Rb
0.333 0.667 0.661 Rb
0.667 0.333 0.339 Rb
0.000 0.000 0.500 Li
```

Calculated values
- Space group: P-3m1 (164)


[10]
Entry from Alexandria: an optimized crystal structure of Li2MgReH8 (GGA-PBE).

POSCAR file:
```
Li2MgReH8
1.0
-2.013 1.737 1.207
1.680 -1.098 4.397
4.067 4.934 -0.316
H Li Mg Re
8 2 1 1
Direct
0.500 0.774 0.000 H
0.000 0.235 0.210 H
0.501 0.742 0.500 H
0.000 0.765 0.210 H
0.499 0.258 0.500 H
0.000 0.235 0.790 H
0.500 0.226 0.000 H
0.000 0.765 0.790 H
0.500 0.500 0.259 Li
0.500 0.500 0.741 Li
0.000 0.000 0.500 Mg
0.000 0.000 0.000 Re
```

Calculated values
- Space group: Pmmm (47)


[11]
Entry from Alexandria: an optimized crystal structure of LiMgHRh (GGA-PBE).

POSCAR file:
```
LiMgHRh
1.0
-3.004 1.841 -0.948
-0.347 -2.093 -2.968
-4.094 -4.721 3.807
Mg Li H Rh
2 2 2 2
Direct
0.250 0.250 0.782 Mg
0.750 0.750 0.218 Mg
0.750 0.250 0.500 Li
0.250 0.750 0.500 Li
0.750 0.250 0.000 H
0.250 0.750 0.000 H
0.750 0.750 0.857 Rh
0.250 0.250 0.143 Rh
```

Calculated values
- Space group: P4/nmm (129)


[12]
Entry from Alexandria: an optimized crystal structure of LiMg3H6Rh2 (GGA-PBE).

POSCAR file:
```
LiMg3H6Rh2
1.0
-3.840 0.208 -2.808
4.281 -0.894 -1.883
-0.852 -5.650 0.746
H Mg Li Rh
6 3 1 2
Direct
0.165 0.330 0.315 H
0.835 0.165 0.685 H
0.330 0.165 0.685 H
0.670 0.835 0.315 H
0.165 0.835 0.315 H
0.835 0.670 0.685 H
0.000 0.000 0.000 Mg
0.667 0.333 0.305 Mg
0.333 0.667 0.695 Mg
0.000 0.000 0.500 Li
0.667 0.333 0.837 Rh
0.333 0.667 0.163 Rh
```

Calculated values
- Space group: P-3m1 (164)


[13]
Entry from Alexandria: an optimized crystal structure of LiMg2HRh (GGA-PBE).

POSCAR file:
```
LiMg2HRh
1.0
-2.263 -2.302 -2.963
3.645 -0.528 -2.374
0.694 -2.878 1.706
Mg Li H Rh
2 1 1 1
Direct
0.000 0.500 0.000 Mg
0.500 0.000 0.000 Mg
0.000 0.000 0.500 Li
0.000 0.000 0.000 H
0.500 0.500 0.500 Rh
```

Calculated values
- ΔE to the lowest computed polymorph: 1.7 kJ/mol of atoms
- Space group: P4/mmm (123)


[14]
Entry from Alexandria: an optimized crystal structure of Li3MgH6Rh2 (GGA-PBE).

POSCAR file:
```
Li3MgH6Rh2
1.0
-1.930 3.724 -2.320
2.959 -2.985 -2.303
-4.336 -3.164 -1.472
Rh H Li Mg
2 6 3 1
Direct
0.333 0.667 0.129 Rh
0.667 0.333 0.871 Rh
0.323 0.162 0.731 H
0.838 0.162 0.731 H
0.677 0.838 0.269 H
0.162 0.323 0.269 H
0.838 0.677 0.731 H
0.162 0.838 0.269 H
0.000 0.000 0.000 Li
0.667 0.333 0.331 Li
0.333 0.667 0.669 Li
0.000 0.000 0.500 Mg
```

Calculated values
- Space group: P-3m1 (164)


[15]
Entry from Alexandria: an optimized crystal structure of Li2MgH4Rh2 (GGA-PBE).

POSCAR file:
```
Li2MgH4Rh2
1.0
2.943 0.000 0.000
-1.471 6.925 1.385
0.000 -1.358 4.401
H Li Mg Rh
4 2 1 2
Direct
0.433 0.867 0.263 H
0.567 0.133 0.737 H
0.214 0.429 0.156 H
0.786 0.571 0.844 H
0.154 0.308 0.510 Li
0.846 0.692 0.490 Li
0.000 0.000 0.000 Mg
0.662 0.324 0.979 Rh
0.338 0.676 0.021 Rh
```

Calculated values
- Space group: C2/m (12)


[16]
Entry from Alexandria: an optimized crystal structure of LiMg2HRh (GGA-PBE).

POSCAR file:
```
LiMg2HRh
1.0
-2.112 1.531 -3.655
-3.685 -2.281 1.174
-1.128 2.752 1.805
H Mg Rh Li
1 2 1 1
Direct
0.000 0.000 0.000 H
0.500 0.000 0.000 Mg
0.000 0.500 0.000 Mg
0.000 0.000 0.500 Rh
0.500 0.500 0.500 Li
```

Calculated values
- ΔE to the lowest computed polymorph: 0.0 kJ/mol of atoms
- Space group: P4/mmm (123)


[17]
Entry from Alexandria: an optimized crystal structure of LiMg3H8Ru2 (GGA-PBE).

POSCAR file:
```
LiMg3H8Ru2
1.0
-1.152 -1.667 4.307
2.484 -2.717 -3.018
5.335 2.303 2.318
H Mg Ru Li
8 3 2 1
Direct
0.155 0.311 0.303 H
0.845 0.155 0.697 H
0.667 0.333 0.079 H
0.311 0.155 0.697 H
0.155 0.845 0.303 H
0.689 0.845 0.303 H
0.333 0.667 0.921 H
0.845 0.689 0.697 H
0.000 0.000 0.000 Mg
0.333 0.667 0.636 Mg
0.667 0.333 0.364 Mg
0.333 0.667 0.178 Ru
0.667 0.333 0.822 Ru
0.000 0.000 0.500 Li
```

Calculated values
- Space group: P-3m1 (164)


[18]
Entry from Alexandria: an optimized crystal structure of Li2MgH6Ru (GGA-PBE).

POSCAR file:
```
Li2MgH6Ru
1.0
-2.779 3.411 -2.296
-4.107 -2.459 1.318
-3.607 2.341 2.480
H Li Ru Mg
6 2 1 1
Direct
0.262 0.738 0.000 H
0.261 0.262 0.000 H
0.739 0.738 0.000 H
0.738 0.738 0.523 H
0.262 0.262 0.477 H
0.738 0.262 0.000 H
0.750 0.250 0.500 Li
0.250 0.750 0.500 Li
0.500 0.500 0.000 Ru
0.000 0.000 0.000 Mg
```

Calculated values
- Space group: Fm-3m (225)


[19]
Entry from Alexandria: an optimized crystal structure of LiMgH2Ru (GGA-PBE).

POSCAR file:
```
LiMgH2Ru
1.0
3.569 0.000 0.000
0.000 4.345 0.000
0.000 0.000 3.569
Mg H Ru Li
1 2 1 1
Direct
0.500 0.500 0.500 Mg
0.500 0.000 0.000 H
0.000 0.000 0.500 H
0.000 0.000 0.000 Ru
0.000 0.500 0.000 Li
```

Calculated values
- Space group: P4/mmm (123)


[20]
Entry from Alexandria: an optimized crystal structure of LiMg2H6Ru (GGA-PBE).

POSCAR file:
```
LiMg2H6Ru
1.0
5.110 0.000 0.000
0.000 4.646 0.000
0.000 -2.323 4.024
H Mg Li Ru
6 2 1 1
Direct
0.211 0.333 0.166 H
0.211 0.834 0.166 H
0.789 0.166 0.333 H
0.789 0.667 0.834 H
0.789 0.166 0.834 H
0.211 0.834 0.667 H
0.153 0.333 0.667 Mg
0.847 0.667 0.333 Mg
0.500 0.000 0.000 Li
0.000 0.000 0.000 Ru
```

Calculated values
- Space group: P-3m1 (164)


[21]
Entry from Alexandria: an optimized crystal structure of LiMg2H7Ru (GGA-PBE).

POSCAR file:
```
LiMg2H7Ru
1.0
4.667 0.000 0.000
-2.334 4.042 0.000
0.000 0.000 10.618
H Ru Mg Li
14 2 4 2
Direct
0.666 0.833 0.904 H
0.333 0.667 0.250 H
0.833 0.666 0.096 H
0.167 0.334 0.596 H
0.334 0.167 0.096 H
0.833 0.167 0.096 H
0.833 0.666 0.404 H
0.167 0.833 0.904 H
0.334 0.167 0.404 H
0.833 0.167 0.404 H
0.666 0.833 0.596 H
0.167 0.833 0.596 H
0.167 0.334 0.904 H
0.667 0.333 0.750 H
0.000 0.000 0.000 Ru
0.000 0.000 0.500 Ru
0.333 0.667 0.424 Mg
0.667 0.333 0.924 Mg
0.667 0.333 0.576 Mg
0.333 0.667 0.076 Mg
0.000 0.000 0.750 Li
0.000 0.000 0.250 Li
```

Calculated values
- Space group: P6_3/mmc (194)


[22]
Entry from Alexandria: an optimized crystal structure of Li2MgH5Ru (GGA-PBE).

POSCAR file:
```
Li2MgH5Ru
1.0
-0.572 -3.247 1.189
-1.456 -1.281 -4.200
5.506 1.040 0.322
Li Mg H Ru
2 1 5 1
Direct
0.210 0.210 0.420 Li
0.790 0.790 0.580 Li
0.000 0.500 0.000 Mg
0.633 0.883 0.266 H
0.000 0.000 0.000 H
0.367 0.117 0.734 H
0.633 0.383 0.266 H
0.367 0.617 0.734 H
0.500 0.000 0.000 Ru
```

Calculated values
- Space group: Immm (71)


[23]
Entry from Alexandria: an optimized crystal structure of LiMg2HRu (GGA-PBE).

POSCAR file:
```
LiMg2HRu
1.0
4.552 0.000 0.000
0.000 4.552 0.000
0.000 0.000 3.394
Li Mg H Ru
1 2 1 1
Direct
0.500 0.500 0.500 Li
0.500 0.000 0.000 Mg
0.000 0.500 0.000 Mg
0.000 0.000 0.000 H
0.000 0.000 0.500 Ru
```

Calculated values
- Space group: P4/mmm (123)


[24]
Entry from Alexandria: an optimized crystal structure of LiMg2SbH (GGA-PBE).

POSCAR file:
```
LiMg2SbH
1.0
4.471 0.000 0.000
0.000 4.471 0.000
0.000 0.000 4.318
H Sb Mg Li
1 1 2 1
Direct
0.000 0.000 0.000 H
0.500 0.500 0.500 Sb
0.000 0.500 0.000 Mg
0.500 0.000 0.000 Mg
0.000 0.000 0.500 Li
```

Calculated values
- Space group: P4/mmm (123)


In order of appearance, magnetization = 0.0; 0.0; 0.0; 0.0; 0.0; 0.0; 0.0; 0.0; 0.0; 0.2; 0.0; 0.0; 0.0; 0.0; 0.0; 0.0; 0.0; 0.0; 0.0; 0.0; 0.0; 0.0; 0.0; 0.0 μB per formula unit.
In order of appearance, energy = -3.768; -2.073; -3.861; -3.165; -3.372; -3.349; -3.274; -1.886; -2.659; -3.861; -3.647; -3.794; -3.431; -3.690; -4.017; -3.448; -3.808; -3.744; -3.588; -3.706; -3.808; -3.783; -3.611; -2.771 eV/atom.